Sr2InSn3Pt2: relaxed, PBE-GGA. Values from VASP.

Symmetry: Cm, No. 8
Total magnetization: 0.00 μB per cell
Crystal system: monoclinic
Uncorrected energy: -4.499 eV per atom
Mass density: 8.582 Mg/m³
V: 25.07 Å³ per atom

Structure (Quantum ESPRESSO input):
```
&SYSTEM
  ibrav = 0, nat = 8, ntyp = 4
/
ATOMIC_SPECIES
Sr 87.62 Sr.upf
In 114.82 In.upf
Sn 118.71 Sn.upf
Pt 195.08 Pt.upf
CELL_PARAMETERS angstrom
5.774 -2.248 0.000
5.774 2.248 0.000
-0.088 0.000 7.726
ATOMIC_POSITIONS angstrom
Sr 0.000 0.000 0.000
Sr 1.463 0.000 3.850
In 4.795 0.000 2.319
Sn 4.752 0.000 5.413
Sn 8.159 0.000 6.177
Sn 8.272 0.000 1.563
Pt 3.094 0.000 7.704
Pt 9.815 0.000 3.913
```